Material: Pr3TiTl4Te8
Method: DFT, PBE-GGA
State: relaxed

Cell lengths 9.6712, 9.6712, 9.6712 Å; angles 55.17, 55.17, 55.17 degrees
Fractional positions:
Pr  0.0000  0.5000  0.5000
Pr  0.5000  0.0000  0.5000
Pr  0.5000  0.5000  0.0000
Ti  0.0000  0.0000  0.0000
Tl  0.0000  0.0000  0.5000
Tl  0.0000  0.5000  0.0000
Tl  0.5000  0.0000  0.0000
Tl  0.5000  0.5000  0.5000
Te  0.2238  0.2238  0.7642
Te  0.2238  0.7642  0.2238
Te  0.2358  0.7762  0.7762
Te  0.2578  0.2578  0.2578
Te  0.7422  0.7422  0.7422
Te  0.7642  0.2238  0.2238
Te  0.7762  0.2358  0.7762
Te  0.7762  0.7762  0.2358

Values from the calculation:
Size of the total moment = 1.0 μB per cell
SG = R-3m, No. 166
E_form (uncorrected) = -0.9005 eV per atom